# 1
Here is a geometry-optimized HfTi3Os structure from Alexandria. Energies are from PBEsol.

Values from the calculation:
- DOS(E_F) (states/eV per atom) = 1.322
- E_form (eV per atom) = 0.499
- calculated volume (Å³/cell) = 102

Lattice parameters (Å, degrees): 4.6683 4.6683 4.6683 90.00 90.00 90.00
Fractional positions:
Ti 0.5000 0.0000 0.0000
Ti 0.0000 0.5000 0.0000
Ti 0.0000 0.0000 0.5000
Os 0.0000 0.0000 0.0000
Hf 0.5000 0.5000 0.5000

---

# 2
Here is a geometry-optimized HfTiOs3 structure from Alexandria. Energies are from PBEsol.

Values from the calculation:
- DOS(E_F) (states/eV per atom) = 0.757
- E_form (eV per atom) = 2.072
- calculated volume (Å³/cell) = 102

Lattice parameters (Å, degrees): 4.6666 4.6666 4.6666 90.00 90.00 90.00
Fractional positions:
Hf 0.0000 0.0000 0.0000
Ti 0.5000 0.5000 0.5000
Os 0.5000 0.0000 0.0000
Os 0.0000 0.0000 0.5000
Os 0.0000 0.5000 0.0000

---

# 3
Here is a geometry-optimized Hf2TlOs structure from Alexandria. Energies are from PBEsol.

Values from the calculation:
- DOS(E_F) (states/eV per atom) = 0.884
- E_form (eV per atom) = -0.033
- calculated volume (Å³/cell) = 76

Lattice parameters (Å, degrees): 4.7466 4.7466 4.7466 60.00 60.00 60.00
Fractional positions:
Os 0.0000 0.0000 0.0000
Hf 0.7500 0.7500 0.7500
Hf 0.2500 0.2500 0.2500
Tl 0.5000 0.5000 0.5000

---

# 4
Here is a geometry-optimized TmHfOs2 structure from Alexandria. Energies are from PBEsol.

Values from the calculation:
- DOS(E_F) (states/eV per atom) = 0.650
- E_form (eV per atom) = -0.424
- calculated volume (Å³/cell) = 69

Lattice parameters (Å, degrees): 4.6076 4.6076 4.6076 60.00 60.00 60.00
Fractional positions:
Os 0.7500 0.7500 0.7500
Os 0.2500 0.2500 0.2500
Tm 0.0000 0.0000 0.0000
Hf 0.5000 0.5000 0.5000

---

# 5
Here is a geometry-optimized YHf2Os2 structure from Alexandria. Energies are from PBEsol.

Values from the calculation:
- DOS(E_F) (states/eV per atom) = 0.715
- E_form (eV per atom) = -0.310
- calculated volume (Å³/cell) = 105

Lattice parameters (Å, degrees): 4.2911 4.2911 6.4495 109.43 109.43 90.00
Fractional positions:
Hf 0.7500 0.2500 0.5000
Hf 0.2500 0.7500 0.5000
Os 0.6101 0.6101 0.2201
Os 0.3899 0.3899 0.7799
Y 0.0000 0.0000 0.0000

---

# 6
Here is a geometry-optimized Y3HfOs structure from Alexandria. Energies are from PBEsol.

Values from the calculation:
- DOS(E_F) (states/eV per atom) = 1.299
- E_form (eV per atom) = 0.443
- calculated volume (Å³/cell) = 146

Lattice parameters (Å, degrees): 5.2658 5.2658 5.2658 90.00 90.00 90.00
Fractional positions:
Y 0.0000 0.5000 0.0000
Y 0.5000 0.0000 0.0000
Y 0.0000 0.0000 0.5000
Os 0.0000 0.0000 0.0000
Hf 0.5000 0.5000 0.5000